Record 1
Here is crystalline NaScPO2 at its relaxed geometry from Alexandria. Energies are from PBE.

```
data_NaScPO2
_chemical_formula_sum 'Na1 Sc1 P1 O2'
_symmetry_space_group_name_H-M 'P 4/m m m'
_symmetry_Int_Tables_number 123
_symmetry_space_group_name_Hall '-P 4 2'
_cell_length_a 4.1395
_cell_length_b 4.1395
_cell_length_c 5.3127
_cell_angle_alpha 90.00
_cell_angle_beta 90.00
_cell_angle_gamma 90.00
loop_
_atom_site_label
_atom_site_type_symbol
_atom_site_fract_x
_atom_site_fract_y
_atom_site_fract_z
Na1 Na 0.0000 0.0000 0.0000
Sc1 Sc 0.5000 0.5000 0.5000
P1 P 0.5000 0.5000 0.0000
O1 O 0.0000 0.5000 0.5000
```

For the total energy, the calculation gives -5.68 eV per atom. For the mass density, the calculation gives 2.388 g/cm3. As for the uncorrected formation energy: -5.41 eV per formula unit. The calculation puts the energy above the lowest structure with this stoichiometry at 0 meV per atom. Its crystal system is tetragonal. As for the density of states at the Fermi level: 0.57 states/eV per atom.

---

Record 2
Here is crystalline BaHfMn3 at its relaxed geometry from Alexandria. Energies are from PBE.

```
data_BaHfMn3
_chemical_formula_sum 'Ba1 Hf1 Mn3'
_symmetry_space_group_name_H-M 'P m -3 m'
_symmetry_Int_Tables_number 221
_symmetry_space_group_name_Hall '-P 4 2 3'
_cell_length_a 4.9983
_cell_length_b 4.9983
_cell_length_c 4.9983
_cell_angle_alpha 90.00
_cell_angle_beta 90.00
_cell_angle_gamma 90.00
loop_
_atom_site_label
_atom_site_type_symbol
_atom_site_fract_x
_atom_site_fract_y
_atom_site_fract_z
Ba1 Ba 0.0000 0.0000 0.0000
Hf1 Hf 0.5000 0.5000 0.5000
Mn1 Mn 0.0000 0.0000 0.5000
```

For the total energy, the calculation gives -5.82 eV per atom. For the mass density, the calculation gives 6.391 g/cm3. The calculation puts the energy above the lowest structure with this stoichiometry at 1148 meV per atom. Its crystal system is cubic. Its energy of formation is 2.06 eV per atom. As for the density of states at the Fermi level: 1.22 states/eV per atom.

---

Record 3
Here is crystalline LiCu2O2 at its relaxed geometry from Alexandria. Energies are from PBE.

```
data_LiCu2O2
_chemical_formula_sum 'Li8 Cu16 O16'
_symmetry_space_group_name_H-M 'P 42/n m c'
_symmetry_Int_Tables_number 137
_cell_length_a 5.7512
_cell_length_b 5.7512
_cell_length_c 12.5826
_cell_angle_alpha 90.00
_cell_angle_beta 90.00
_cell_angle_gamma 90.00
loop_
_symmetry_equiv_pos_as_xyz
'x,y,z'
'-x,-y,-z'
'-y+1/2,x,z+1/2'
'y+1/2,-x,-z+1/2'
'-x+1/2,-y+1/2,z'
'x+1/2,y+1/2,-z'
'y,-x+1/2,z+1/2'
'-y,x+1/2,-z+1/2'
'x+1/2,-y,-z'
'-x+1/2,y,z'
'-y,-x,-z+1/2'
'y,x,z+1/2'
'-x,y+1/2,-z'
'x,-y+1/2,z'
'y+1/2,x+1/2,-z+1/2'
'-y+1/2,-x+1/2,z+1/2'
loop_
_atom_site_label
_atom_site_type_symbol
_atom_site_fract_x
_atom_site_fract_y
_atom_site_fract_z
Li1 Li 0.0068 0.2500 0.1778
Cu1 Cu 0.0024 0.7500 0.1501
Cu2 Cu 0.0020 0.7500 0.5074
O1 O 0.0093 0.7500 0.3595
O2 O 0.0096 0.2500 0.3431
```

For the total energy, the calculation gives -4.95 eV per atom. For the mass density, the calculation gives 5.300 g/cm3. As for the uncorrected formation energy: -4.73 eV per formula unit. The calculation puts the energy above the lowest structure with this stoichiometry at 0 meV per atom. Its crystal system is tetragonal. As for the density of states at the Fermi level: 0.11 states/eV per atom.

---

Record 4
Here is crystalline Mn2Co2Te at its relaxed geometry from Alexandria. Energies are from PBE.

```
data_Mn2Co2Te
_chemical_formula_sum 'Mn4 Co4 Te2'
_symmetry_space_group_name_H-M 'I 4/m m m'
_symmetry_Int_Tables_number 139
_symmetry_space_group_name_Hall '-I 4 2'
_cell_length_a 3.3889
_cell_length_b 3.3889
_cell_length_c 13.7309
_cell_angle_alpha 90.00
_cell_angle_beta 90.00
_cell_angle_gamma 90.00
loop_
_atom_site_label
_atom_site_type_symbol
_atom_site_fract_x
_atom_site_fract_y
_atom_site_fract_z
Mn1 Mn 0.0000 0.0000 0.1153
Co1 Co 0.0000 0.5000 0.2500
Te1 Te 0.0000 0.0000 0.5000
```

For the total energy, the calculation gives -6.74 eV per atom. For the mass density, the calculation gives 7.483 g/cm3. As for the uncorrected formation energy: 1.99 eV per formula unit. Its crystal system is tetragonal. As for the density of states at the Fermi level: 0.96 states/eV per atom.

---

Record 5
Here is crystalline La2Zr at its relaxed geometry from Alexandria. Energies are from PBE.

```
data_La2Zr
_chemical_formula_sum 'La4 Zr2'
_symmetry_space_group_name_H-M 'I 4/m m m'
_symmetry_Int_Tables_number 139
_symmetry_space_group_name_Hall '-I 4 2'
_cell_length_a 4.1008
_cell_length_b 4.1008
_cell_length_c 11.1125
_cell_angle_alpha 90.00
_cell_angle_beta 90.00
_cell_angle_gamma 90.00
loop_
_atom_site_label
_atom_site_type_symbol
_atom_site_fract_x
_atom_site_fract_y
_atom_site_fract_z
La1 La 0.0000 0.0000 0.1518
Zr1 Zr 0.0000 0.0000 0.5000
```

For the total energy, the calculation gives -5.91 eV per atom. For the mass density, the calculation gives 6.558 g/cm3. The calculation puts the energy above the lowest structure with this stoichiometry at 98 meV per atom. Its crystal system is tetragonal. Its energy of formation is 0.22 eV per atom. As for the density of states at the Fermi level: 1.82 states/eV per atom.

---

Record 6
Here is crystalline PuPd3 at its relaxed geometry from Alexandria. Energies are from PBE.

```
data_PuPd3
_chemical_formula_sum 'Pu2 Pd6'
_symmetry_space_group_name_H-M 'I 4/m m m'
_symmetry_Int_Tables_number 139
_symmetry_space_group_name_Hall '-I 4 2'
_cell_length_a 4.2125
_cell_length_b 4.2125
_cell_length_c 8.1471
_cell_angle_alpha 90.00
_cell_angle_beta 90.00
_cell_angle_gamma 90.00
loop_
_atom_site_label
_atom_site_type_symbol
_atom_site_fract_x
_atom_site_fract_y
_atom_site_fract_z
Pu1 Pu 0.0000 0.0000 0.0000
Pd1 Pd 0.0000 0.0000 0.5000
Pd2 Pd 0.0000 0.5000 0.2500
```

For the total energy, the calculation gives -7.95 eV per atom. For the mass density, the calculation gives 12.939 g/cm3. Its crystal system is tetragonal. Its energy of formation is -0.47 eV per atom. As for the density of states at the Fermi level: 3.37 states/eV per atom.

---

Record 7
Here is crystalline CaLaPO2 at its relaxed geometry from Alexandria. Energies are from PBE.

```
data_CaLaPO2
_chemical_formula_sum 'Ca1 La1 P1 O2'
_symmetry_space_group_name_H-M 'P 4/m m m'
_symmetry_Int_Tables_number 123
_symmetry_space_group_name_Hall '-P 4 2'
_cell_length_a 4.3722
_cell_length_b 4.3722
_cell_length_c 5.1820
_cell_angle_alpha 90.00
_cell_angle_beta 90.00
_cell_angle_gamma 90.00
loop_
_atom_site_label
_atom_site_type_symbol
_atom_site_fract_x
_atom_site_fract_y
_atom_site_fract_z
Ca1 Ca 0.0000 0.0000 0.0000
La1 La 0.5000 0.5000 0.5000
P1 P 0.0000 0.0000 0.5000
O1 O 0.0000 0.5000 0.0000
```

For the total energy, the calculation gives -5.71 eV per atom. For the mass density, the calculation gives 4.056 g/cm3. As for the uncorrected formation energy: -6.27 eV per formula unit. The calculation puts the energy above the lowest structure with this stoichiometry at 194 meV per atom. Its crystal system is tetragonal. As for the density of states at the Fermi level: 1.10 states/eV per atom.

---

Record 8
Here is crystalline NiHOs at its relaxed geometry from Alexandria. Energies are from PBE.

```
data_NiHOs
_chemical_formula_sum 'Ni2 H2 Os2'
_symmetry_space_group_name_H-M 'P m m 2'
_symmetry_Int_Tables_number 25
_symmetry_space_group_name_Hall 'P 2 -2'
_cell_length_a 2.7503
_cell_length_b 3.7935
_cell_length_c 5.3309
_cell_angle_alpha 90.00
_cell_angle_beta 90.00
_cell_angle_gamma 90.00
loop_
_atom_site_label
_atom_site_type_symbol
_atom_site_fract_x
_atom_site_fract_y
_atom_site_fract_z
Ni1 Ni 0.0000 0.0000 0.0000
Ni2 Ni 0.5000 0.5000 0.2220
H1 H 0.0000 0.5000 0.3986
H2 H 0.5000 0.0000 0.2219
Os1 Os 0.0000 0.0000 0.5183
Os2 Os 0.5000 0.5000 0.7428
```

For the total energy, the calculation gives -6.61 eV per atom. For the mass density, the calculation gives 14.923 g/cm3. The calculation puts the energy above the lowest structure with this stoichiometry at 71 meV per atom. Its crystal system is orthorhombic. As for the density of states at the Fermi level: 0.57 states/eV per atom.

---

Record 9
Here is crystalline KRe3I at its relaxed geometry from Alexandria. Energies are from PBE.

```
data_KRe3I
_chemical_formula_sum 'K1 Re3 I1'
_symmetry_space_group_name_H-M 'P m -3 m'
_symmetry_Int_Tables_number 221
_symmetry_space_group_name_Hall '-P 4 2 3'
_cell_length_a 4.7117
_cell_length_b 4.7117
_cell_length_c 4.7117
_cell_angle_alpha 90.00
_cell_angle_beta 90.00
_cell_angle_gamma 90.00
loop_
_atom_site_label
_atom_site_type_symbol
_atom_site_fract_x
_atom_site_fract_y
_atom_site_fract_z
K1 K 0.0000 0.0000 0.0000
Re1 Re 0.0000 0.0000 0.5000
I1 I 0.5000 0.5000 0.5000
```

For the total energy, the calculation gives -3.86 eV per atom. For the mass density, the calculation gives 11.504 g/cm3. As for the uncorrected formation energy: 20.67 eV per formula unit. The calculation puts the energy above the lowest structure with this stoichiometry at 1364 meV per atom. Its crystal system is cubic. As for the density of states at the Fermi level: 1.73 states/eV per atom.

---

Record 10
Here is crystalline Nd5SmY4 at its relaxed geometry from Alexandria. Energies are from PBE.

```
data_Nd5SmY4
_chemical_formula_sum 'Nd10 Sm2 Y8'
_symmetry_space_group_name_H-M 'C 1 2/m 1'
_symmetry_Int_Tables_number 12
_symmetry_space_group_name_Hall '-C 2y'
_cell_length_a 18.8359
_cell_length_b 3.6364
_cell_length_c 10.2710
_cell_angle_alpha 90.00
_cell_angle_beta 106.19
_cell_angle_gamma 90.00
loop_
_atom_site_label
_atom_site_type_symbol
_atom_site_fract_x
_atom_site_fract_y
_atom_site_fract_z
Nd1 Nd 0.0000 0.0000 0.0000
Nd2 Nd 0.1002 0.5000 0.3025
Nd3 Nd 0.2003 0.0000 0.1006
Sm1 Sm 0.0000 0.0000 0.5000
Y1 Y 0.1006 0.5000 0.7982
Y2 Y 0.1996 0.0000 0.5996
```

For the total energy, the calculation gives -5.43 eV per atom. For the mass density, the calculation gives 6.033 g/cm3. The calculation puts the energy above the lowest structure with this stoichiometry at 0 meV per atom. Its crystal system is monoclinic. Its energy of formation is 0.01 eV per atom. As for the density of states at the Fermi level: 1.34 states/eV per atom.

---

Record 11
Here is crystalline Ce2Y3UP6 at its relaxed geometry from Alexandria. Energies are from PBE.

```
data_Ce2Y3UP6
_chemical_formula_sum 'Ce4 Y6 U2 P12'
_symmetry_space_group_name_H-M 'C 1 2/m 1'
_symmetry_Int_Tables_number 12
_symmetry_space_group_name_Hall '-C 2y'
_cell_length_a 17.5436
_cell_length_b 4.0182
_cell_length_c 8.0630
_cell_angle_alpha 90.00
_cell_angle_beta 103.30
_cell_angle_gamma 90.00
loop_
_atom_site_label
_atom_site_type_symbol
_atom_site_fract_x
_atom_site_fract_y
_atom_site_fract_z
Ce1 Ce 0.1658 0.0000 0.3327
Y1 Y 0.0000 0.5000 0.5000
Y2 Y 0.1680 0.0000 0.8331
U1 U 0.0000 0.5000 0.0000
P1 P 0.0016 0.0000 0.7567
P2 P 0.1640 0.5000 0.0792
P3 P 0.1663 0.5000 0.5849
```

For the total energy, the calculation gives -7.72 eV per atom. For the mass density, the calculation gives 5.829 g/cm3. Its crystal system is monoclinic. Its energy of formation is -1.47 eV per atom. As for the density of states at the Fermi level: 1.32 states/eV per atom.

---

Record 12
Here is crystalline SiCBr2 at its relaxed geometry from Alexandria. Energies are from PBE.

```
data_SiCBr2
_chemical_formula_sum 'Si4 C4 Br8'
_symmetry_space_group_name_H-M 'I -4 2 d'
_symmetry_Int_Tables_number 122
_symmetry_space_group_name_Hall 'I -4 2bw'
_cell_length_a 6.0642
_cell_length_b 6.0642
_cell_length_c 11.4300
_cell_angle_alpha 90.00
_cell_angle_beta 90.00
_cell_angle_gamma 90.00
loop_
_atom_site_label
_atom_site_type_symbol
_atom_site_fract_x
_atom_site_fract_y
_atom_site_fract_z
Si1 Si 0.0000 0.0000 0.0000
C1 C 0.0000 0.0000 0.5000
Br1 Br 0.1671 0.2500 0.6250
```

For the total energy, the calculation gives -2.70 eV per atom. For the mass density, the calculation gives 3.159 g/cm3. As for the uncorrected formation energy: 7.20 eV per formula unit. The calculation puts the energy above the lowest structure with this stoichiometry at 175 meV per atom. Its crystal system is tetragonal. As for the density of states at the Fermi level: 0.79 states/eV per atom.